(1)
A plane-wave DFT calculation with PBE-GGA was carried out for an optimized crystal structure of CaLaCu3.

Results
Energy relative to the elements in eV/atom: 0.578
Distance to the lowest polymorph of the same formula in eV/atom: 0.764

abc: 5.236 5.236 5.236
angles: 90.00 90.00 90.00
Fractional coordinates of all 5 atoms:
Ca  0.500  0.500  0.500
Cu  0.500  0.000  0.000
La  0.000  0.000  0.000
Cu  0.000  0.500  0.000
Cu  0.000  0.000  0.500


(2)
A plane-wave DFT calculation with PBE-GGA was carried out for an optimized crystal structure of Ti2Mo3.

Results
Energy relative to the elements in eV/atom: 0.273

abc: 5.675 5.231 6.745
angles: 90.00 90.00 122.85
Fractional coordinates of all 10 atoms:
Mo  0.089  0.678  0.750
Mo  0.500  0.000  0.500
Ti  0.384  0.767  0.116
Ti  0.616  0.233  0.884
Mo  0.000  0.000  0.000
Ti  0.116  0.233  0.616
Mo  0.589  0.678  0.750
Mo  0.911  0.322  0.250
Mo  0.411  0.322  0.250
Ti  0.884  0.767  0.384


(3)
A plane-wave DFT calculation with PBE-GGA was carried out for an optimized crystal structure of TeAs2Cl.

Results
Distance to the lowest polymorph of the same formula in eV/atom: 0.652
Energy relative to the elements, uncorrected in eV/atom: 0.515

abc: 3.145 3.145 8.907
angles: 90.00 90.00 90.00
Fractional coordinates of all 4 atoms:
Te  0.500  0.500  0.750
As  0.000  0.000  0.008
Cl  0.500  0.500  0.250
As  0.000  0.000  0.492